NbOsN2 | PBE | optimized geometry

The calculation puts the energy relative to the elements, uncorrected at -54 meV per atom. For the total energy, the calculation gives -9.541 eV per atom. Its total moment is 0.00 μB/f.u.

The space group is I-42d (No. 122) and the conventional cell measures 4.177, 4.177 and 11.371 Å, with angles of 90.00, 90.00 and 90.00 degrees. The distinct sites, in fractional coordinates, are Nb at (0.000, 0.000, 0.000), Os at (0.000, 0.000, 0.500) and N at (0.237, 0.250, 0.625).